No. 1
A geometry-optimized Sr8NiPt2 structure, computed with PBE.

```
11
Lattice="9.3829 0.0000 0.0000 -4.6915 8.1258 0.0000 0.0000 0.0000 6.3692" Properties=species:S:1:pos:R:3 pbc="T T T"
Sr -2.5092 6.8584 1.5553
Sr 0.0065 2.5236 1.5553
Sr 2.1887 1.2561 4.8139
Sr 0.0000 5.4172 4.7164
Sr 4.6915 2.7086 1.6528
Sr 2.5027 6.8697 1.5553
Sr 4.6850 5.6023 4.8139
Sr 7.2007 1.2674 4.8139
Ni 0.0000 0.0000 0.0000
Pt 0.0000 5.4172 1.5122
Pt 4.6915 2.7086 4.8571
```

Values from the calculation:
total magnetic moment	0.00	μB/f.u.
crystal system	trigonal
energy	-3.05	eV per atom
DOS(E_F)	0.70	states/eV/atom

***

No. 2
A geometry-optimized BaLiGa2Rh structure, computed with PBE.

```
5
Lattice="4.8403 0.0000 0.0000 0.0000 4.8403 0.0000 0.0000 0.0000 5.0316" Properties=species:S:1:pos:R:3 pbc="T T T"
Ba 0.0000 0.0000 0.0000
Li 2.4201 2.4201 0.0000
Ga 0.0000 2.4201 2.5158
Ga 2.4201 0.0000 2.5158
Rh 2.4201 2.4201 2.5158
```

Values from the calculation:
total magnetic moment	0.00	μB/f.u.
crystal system	tetragonal
energy	-3.92	eV per atom
DOS(E_F)	0.61	states/eV/atom

***

No. 3
A geometry-optimized KBa3Tl structure, computed with PBE.

```
5
Lattice="6.8506 0.0000 0.0000 0.0000 6.8506 0.0000 0.0000 0.0000 6.8506" Properties=species:S:1:pos:R:3 pbc="T T T"
K 0.0000 0.0000 0.0000
Ba 0.0000 0.0000 3.4253
Ba 0.0000 3.4253 0.0000
Ba 3.4253 0.0000 0.0000
Tl 3.4253 3.4253 3.4253
```

Values from the calculation:
total magnetic moment	3.23	μB/f.u.
crystal system	cubic
energy	-1.22	eV per atom
distance to the lowest polymorph of the same formula	684	meV per atom
DOS(E_F)	1.96	states/eV/atom